Record 1
NiIr2S PBE-GGA relaxed; space-group type = I-42d, No. 122; DOS at the Fermi energy = 0.36 states/eV/atom; formation energy (no corrections) = 593.3 meV/atom
1.0
-2.588 2.588 5.470
2.588 -2.588 5.470
2.588 2.588 -5.470
Ni Ir S
2 4 2
Cartesian
0.000 0.000 0.000
0.000 2.588 2.735
1.294 -1.162 4.103
1.426 1.294 1.368
1.294 3.750 -1.368
1.162 1.294 6.838
2.588 0.000 2.735
0.000 0.000 5.470


Record 2
V2Si2W PBE-GGA relaxed; space-group type = P4/mbm, No. 127; DOS at the Fermi energy = 0.87 states/eV/atom; formation energy (no corrections) = -386.2 meV/atom
1.0
6.491 0.000 0.000
0.000 6.491 0.000
0.000 0.000 3.232
V Si W
4 4 2
Cartesian
1.085 2.161 0.000
2.161 5.406 0.000
4.330 1.085 0.000
5.406 4.330 0.000
0.847 4.092 1.616
2.398 0.847 1.616
4.092 5.644 1.616
5.644 2.398 1.616
0.000 0.000 1.616
3.245 3.245 1.616


Record 3
CeMnH6Pd PBE-GGA relaxed; uncorrected energy = -0.17497 Ha/atom; space-group type = P-6m2, No. 187; DOS at the Fermi energy = 0.75 states/eV/atom
1.0
4.602 0.000 0.000
-2.301 3.985 0.000
0.000 0.000 4.414
Ce Mn H Pd
1 1 6 1
Cartesian
0.000 0.000 0.000
0.000 2.657 2.207
-1.061 2.044 1.028
-1.061 2.044 3.386
1.061 2.044 1.028
1.061 2.044 3.386
0.000 3.882 1.028
0.000 3.882 3.386
2.301 1.328 2.207


Record 4
InOsBr2 PBE-GGA relaxed; space-group type = I-42d, No. 122; DOS at the Fermi energy = 1.29 states/eV/atom; formation energy (no corrections) = 348.7 meV/atom; ΔE to the lowest computed polymorph = 167 meV per atom
1.0
-4.425 4.425 2.671
4.425 -4.425 2.671
4.425 4.425 -2.671
In Os Br
2 2 4
Cartesian
0.000 0.000 0.000
0.000 4.425 1.335
4.425 0.000 1.335
0.000 0.000 2.671
2.212 -1.096 2.003
3.328 2.212 0.668
2.212 5.521 -0.668
1.096 2.212 3.338


Record 5
CaSnIr2 PBE-GGA relaxed; space-group type = I-42d, No. 122; DOS at the Fermi energy = 0.23 states/eV/atom; formation enthalpy at 0 K = 0.217 eV per atom
1.0
-3.769 3.769 2.974
3.769 -3.769 2.974
3.769 3.769 -2.974
Ca Sn Ir
2 2 4
Cartesian
0.000 0.000 0.000
0.000 3.769 1.487
3.769 0.000 1.487
0.000 0.000 2.974
1.884 -1.590 2.230
2.179 1.884 0.743
1.884 5.359 -0.743
1.590 1.884 3.717


Record 6
NdEr2Ag3Se6 PBE-GGA relaxed; space-group type = C2/m, No. 12; DOS at the Fermi energy = 0.00 states/eV/atom; formation energy (no corrections) = -1173.8 meV/atom
1.0
8.110 -2.111 0.000
8.110 2.111 0.000
-2.747 0.000 9.522
Nd Er Ag Se
1 2 3 6
Cartesian
0.000 0.000 0.000
3.622 0.000 6.311
9.851 0.000 3.211
-1.374 0.000 4.761
5.189 0.000 0.405
8.284 0.000 9.117
1.127 0.000 4.988
2.674 0.000 1.419
7.342 0.000 1.958
6.131 0.000 7.564
10.799 0.000 8.103
12.345 0.000 4.534


Record 7
Tm5Bi4B PBE-GGA relaxed; space-group type = I4, No. 79; DOS at the Fermi energy = 0.75 states/eV/atom; formation enthalpy at 0 K = -0.509 eV per atom
1.0
-4.790 4.790 3.071
4.790 -4.790 3.071
4.790 4.790 -3.071
Tm Bi B
5 4 1
Cartesian
0.000 0.000 0.000
5.718 2.412 0.307
2.412 3.861 0.307
2.378 0.928 3.378
-0.928 2.378 3.378
3.023 0.747 0.320
4.043 -1.767 3.392
0.747 6.556 0.320
1.767 4.043 3.392
0.000 0.000 3.580


Record 8
MgCuSb PBE-GGA relaxed; space-group type = P1, No. 1; DOS at the Fermi energy = 0.36 states/eV/atom; formation energy (no corrections) = -114.7 meV/atom
1.0
4.051 0.000 0.000
2.023 4.845 0.000
2.009 0.663 6.196
Mg Cu Sb
2 2 2
Cartesian
0.000 0.000 0.000
4.038 2.679 4.362
4.048 4.171 1.990
6.062 3.484 6.034
2.026 2.028 1.322
6.068 4.761 3.712


Record 9
Ca3La2NbN6 PBE-GGA relaxed; space-group type = C2/m, No. 12; DOS at the Fermi energy = 0.88 states/eV/atom; formation energy (no corrections) = -1049.6 meV/atom
1.0
3.056 -5.326 0.000
3.056 5.326 0.000
-2.019 0.000 5.698
Ca La Nb N
3 2 1 6
Cartesian
0.000 0.000 0.000
3.056 1.665 0.000
3.056 -1.665 0.000
2.046 3.542 2.849
2.046 -3.542 2.849
2.046 0.000 2.849
1.153 1.553 1.567
0.244 0.000 4.097
1.153 -1.553 1.567
2.940 1.553 4.132
3.849 0.000 1.601
2.940 -1.553 4.132


Record 10
ErCd6Ag12 PBE-GGA relaxed; space-group type = R-3, No. 148; DOS at the Fermi energy = 0.36 states/eV/atom; formation enthalpy at 0 K = -0.006 eV per atom
1.0
5.768 3.330 3.358
-5.768 3.330 3.358
0.000 -6.661 3.358
Er Cd Ag
1 6 12
Cartesian
0.000 0.000 0.000
-0.017 -1.731 2.661
-1.491 0.880 2.661
1.508 0.851 2.661
-1.508 -0.851 7.413
1.491 -0.880 7.413
0.017 1.731 7.413
4.257 -0.732 6.721
-4.257 0.732 3.353
-2.423 -1.391 4.630
1.495 -4.053 3.353
-2.763 -3.321 6.721
-0.007 -2.794 5.444
-2.416 1.403 5.444
2.416 -1.403 4.630
0.007 2.794 4.630
2.763 3.321 3.353
-1.495 4.053 6.721
2.423 1.391 5.444


Record 11
SrTmMg2Tl4 PBE-GGA relaxed; space-group type = R-3m, No. 166; DOS at the Fermi energy = 0.37 states/eV/atom; formation enthalpy at 0 K = -0.231 eV per atom
1.0
2.623 1.514 9.168
-2.623 1.514 9.168
0.000 -3.029 9.168
Sr Tm Mg Tl
1 1 2 4
Cartesian
0.000 0.000 0.000
0.000 0.000 13.752
0.000 0.000 6.759
0.000 0.000 20.744
0.000 0.000 3.473
0.000 0.000 10.529
0.000 0.000 16.974
0.000 0.000 24.031


Record 12
ErTmPu PBE-GGA relaxed; space-group type = P-6m2, No. 187; DOS at the Fermi energy = 3.14 states/eV/atom; formation enthalpy at 0 K = 0.167 eV per atom; ΔE to the lowest computed polymorph = 66 meV per atom
1.0
5.516 0.000 0.000
-2.758 4.777 0.000
0.000 0.000 3.294
Er Tm Pu
1 1 1
Cartesian
0.000 0.000 0.000
0.000 3.185 1.647
2.758 1.592 1.647


Record 13
MgRhSe2 PBE-GGA relaxed; space-group type = P4/mmm, No. 123; DOS at the Fermi energy = 0.51 states/eV/atom; formation energy (no corrections) = -346.5 meV/atom
1.0
4.629 0.000 0.000
0.000 4.629 0.000
0.000 0.000 3.223
Mg Rh Se
1 1 2
Cartesian
0.000 0.000 0.000
2.315 2.315 0.000
0.000 2.315 1.612
2.315 0.000 1.612


| no. | size of the total moment (μB/atom) |
| --- | --- |
| 1 | 0.000 |
| 2 | 0.000 |
| 3 | 0.374 |
| 4 | 0.000 |
| 5 | 0.000 |
| 6 | 0.000 |
| 7 | 0.000 |
| 8 | 0.000 |
| 9 | 0.063 |
| 10 | 0.000 |
| 11 | 0.000 |
| 12 | 2.060 |
| 13 | 0.000 |